Below is a relaxed structure of ReP2I2, with properties calculated at the PBE level.

Properties
total magnetization: 3.5 μB per cell
ΔE_f (raw): 121.03 kJ/mol of atoms
VASP energy: -20.10 eV per cell

The structure in POSCAR format:
```
ReP2I2
1.0
-1.307 2.614 5.171
-2.656 -4.982 1.847
1.766 -2.570 5.157
I Re P
2 1 2
Direct
0.750 0.250 0.500
0.250 0.750 0.500
0.000 0.000 0.000
0.271 0.271 0.459
0.729 0.729 0.541
```

Below is a relaxed structure of RePI, with properties calculated at the PBE level.

Properties
total magnetization: 0.0 μB per cell
ΔE_f (raw): 1.82 kJ/mol of atoms
VASP energy: -77.41 eV per cell

The structure in POSCAR format:
```
RePI
1.0
-5.716 -1.623 2.448
1.132 -5.488 -0.996
2.540 4.631 8.999
P Re I
4 4 4
Direct
0.110 0.307 0.070
0.610 0.193 0.930
0.890 0.693 0.930
0.390 0.807 0.070
0.319 0.952 0.901
0.819 0.548 0.099
0.681 0.048 0.099
0.181 0.452 0.901
0.043 0.924 0.682
0.543 0.576 0.318
0.957 0.076 0.318
0.457 0.424 0.682
```

Below is a relaxed structure of ReP3I, with properties calculated at the PBE level.

Properties
total magnetization: 2.9 μB per cell
ΔE_f (raw): 236.11 kJ/mol of atoms
VASP energy: -17.99 eV per cell

The structure in POSCAR format:
```
ReP3I
1.0
5.000 0.000 0.000
0.000 5.000 0.000
0.000 0.000 5.000
I Re P
1 1 3
Direct
0.000 0.000 0.000
0.500 0.500 0.500
0.000 0.500 0.000
0.000 0.000 0.500
0.500 0.000 0.000
```

Below is a relaxed structure of RePI2, with properties calculated at the PBE level.

Properties
total magnetization: 0.0 μB per cell
ΔE_f (raw): 145.83 kJ/mol of atoms
VASP energy: -14.91 eV per cell

The structure in POSCAR format:
```
RePI2
1.0
0.000 3.455 3.455
3.455 0.000 3.455
3.455 3.455 0.000
I Re P
2 1 1
Direct
0.250 0.250 0.250
0.750 0.750 0.750
0.500 0.500 0.500
0.000 0.000 0.000
```

Below is a relaxed structure of ReP3I, with properties calculated at the PBE level.

Properties
total magnetization: 0.0 μB per cell
ΔE_f (raw): 50.66 kJ/mol of atoms
VASP energy: -27.60 eV per cell

The structure in POSCAR format:
```
ReP3I
1.0
4.698 0.000 0.000
0.000 4.698 0.000
0.000 0.000 4.698
I Re P
1 1 3
Direct
0.500 0.500 0.500
0.000 0.000 0.000
0.000 0.500 0.000
0.000 0.000 0.500
0.500 0.000 0.000
```

Below is a relaxed structure of RePI2, with properties calculated at the PBE level.

Properties
total magnetization: 0.0 μB per cell
ΔE_f (raw): 37.58 kJ/mol of atoms
VASP energy: -38.80 eV per cell

The structure in POSCAR format:
```
RePI2
1.0
-2.054 -9.687 -2.075
2.867 1.447 -9.594
2.532 -4.688 -5.285
I Re P
4 2 2
Direct
0.773 0.125 0.250
0.977 0.625 0.250
0.375 0.227 0.750
0.875 0.023 0.750
0.000 0.000 0.000
0.750 0.250 0.500
0.500 0.500 0.000
0.250 0.750 0.500
```